[1]
# ZnFeCoAs | OQMD via LeMat-Bulk | PBE | optimized geometry
# Magnetization = 0.129 μB/f.u.
# E above lowest polymorph = 0 meV/atom
data_ZnFeCoAs
_space_group_name_H-M_alt 'P 1'
_space_group_IT_number 1
_cell_length_a 4.0732
_cell_length_b 4.0732
_cell_length_c 4.0732
_cell_angle_alpha 60.00
_cell_angle_beta 60.00
_cell_angle_gamma 60.00
loop_
_space_group_symop_operation_xyz
'x,y,z'
loop_
_atom_site_label
_atom_site_type_symbol
_atom_site_fract_x
_atom_site_fract_y
_atom_site_fract_z
Fe1 Fe 0.0000 0.0000 0.0000
Zn1 Zn 0.7500 0.7500 0.7500
As1 As 0.2500 0.2500 0.2500
Co1 Co 0.5000 0.5000 0.5000

[2]
# HoOs2O4 | OQMD via LeMat-Bulk | PBE | optimized geometry
# Magnetization = 1.000 μB/f.u.
# Raw total energy = -7.691 eV per atom
data_HoOs2O4
_space_group_name_H-M_alt 'P 1'
_space_group_IT_number 1
_cell_length_a 6.3310
_cell_length_b 6.3310
_cell_length_c 6.3310
_cell_angle_alpha 119.98
_cell_angle_beta 90.04
_cell_angle_gamma 119.98
loop_
_space_group_symop_operation_xyz
'x,y,z'
loop_
_atom_site_label
_atom_site_type_symbol
_atom_site_fract_x
_atom_site_fract_y
_atom_site_fract_z
Ho1 Ho 0.7500 0.5000 0.2500
Ho2 Ho 0.0000 0.0000 0.0000
O1 O 0.1403 0.7192 0.8595
O2 O 0.6095 0.2192 0.3903
O3 O 0.1405 0.2808 0.8597
O4 O 0.6097 0.7808 0.3905
O5 O 0.1403 0.2808 0.4211
O6 O 0.5789 0.7192 0.8597
O7 O 0.6097 0.2192 0.8289
O8 O 0.1711 0.7808 0.3903
Os1 Os 0.3750 0.7500 0.6250
Os2 Os 0.3750 0.2500 0.6250
Os3 Os 0.8750 0.2500 0.6250
Os4 Os 0.3750 0.7500 0.1250

[3]
# GdBeSO | OQMD via LeMat-Bulk | PBE | optimized geometry
# Magnetization = 0.984 μB/f.u.
# E above lowest polymorph = 146 meV/atom
data_GdBeSO
_space_group_name_H-M_alt 'P 1'
_space_group_IT_number 1
_cell_length_a 4.1501
_cell_length_b 4.1501
_cell_length_c 10.7652
_cell_angle_alpha 78.89
_cell_angle_beta 101.11
_cell_angle_gamma 120.00
loop_
_space_group_symop_operation_xyz
'x,y,z'
loop_
_atom_site_label
_atom_site_type_symbol
_atom_site_fract_x
_atom_site_fract_y
_atom_site_fract_z
Be1 Be 0.3552 0.6448 0.0656
Be2 Be 0.6448 0.3552 0.9344
O1 O 0.6918 0.3082 0.0753
O2 O 0.3082 0.6918 0.9247
Gd1 Gd 0.2389 0.7611 0.7166
Gd2 Gd 0.7611 0.2389 0.2834
S1 S 0.8718 0.1282 0.6154
S2 S 0.1282 0.8718 0.3846